First-principles (GGA-PBE) data for NaZn3Se after structural relaxation, as listed in Alexandria.

Computed properties:
The energy relative to the elements, uncorrected is 3.6 eV/f.u. For the total moment, the calculation gives 0.000 μB per formula unit. As for the density: 3.5 g cm⁻³.

a = 5.1980 Å, b = 5.1980 Å, c = 5.1980 Å
α = 90.00°, β = 90.00°, γ = 90.00°
Space group Pm-3m (No. 221)
Asymmetric unit:
Na 0.0000 0.0000 0.0000 (multiplicity 1)
Zn 0.0000 0.0000 0.5000 (multiplicity 3)
Se 0.5000 0.5000 0.5000 (multiplicity 1)